A geometry-optimized Tb3Dy4Er8 structure, computed with GGA-PBE.

- Offset from the most stable computed form: 0.260 eV/atom
- ΔH_f (0 K): 0.404 eV per atom
- Final energy: -4.1829 eV per atom

Cell lengths 13.225, 12.735, 6.659 Å; angles 90.00, 120.17, 90.00 degrees
Space group C2/m (No. 12)
Symmetry-distinct sites (fractional):
Tb (0.000, 0.000, 0.000) [2 per cell]
Tb (0.250, 0.250, 0.000) [4 per cell]
Dy (0.000, 0.500, 0.000) [2 per cell]
Dy (0.000, 0.500, 0.500) [2 per cell]
Dy (0.250, 0.250, 0.500) [4 per cell]
Er (0.000, 0.140, 0.500) [4 per cell]
Er (0.000, 0.248, 0.000) [4 per cell]
Er (0.233, 0.000, 0.967) [4 per cell]
Er (0.235, 0.000, 0.490) [4 per cell]

A geometry-optimized Tb3Dy4Er structure, computed with GGA-PBE.

- Offset from the most stable computed form: 0.163 eV/atom
- ΔH_f (0 K): 0.171 eV per atom
- Final energy: -4.4371 eV per atom

Cell lengths 3.471, 6.621, 22.375 Å; angles 90.00, 90.00, 90.00 degrees
Space group Immm (No. 71)
Symmetry-distinct sites (fractional):
Tb (0.000, 0.000, 0.000) [2 per cell]
Tb (0.000, 0.000, 0.240) [4 per cell]
Dy (0.000, 0.255, 0.375) [8 per cell]
Er (0.000, 0.000, 0.500) [2 per cell]

A geometry-optimized TbDy3Er5 structure, computed with GGA-PBE.

- Offset from the most stable computed form: 0.397 eV/atom
- ΔH_f (0 K): 0.531 eV per atom
- Final energy: -4.0529 eV per atom

Cell lengths 15.034, 11.263, 9.857 Å; angles 90.00, 130.44, 90.00 degrees
Space group C2/m (No. 12)
Symmetry-distinct sites (fractional):
Tb (0.249, 0.000, 0.099) [4 per cell]
Dy (0.000, 0.000, 0.000) [2 per cell]
Dy (0.000, 0.500, 0.500) [2 per cell]
Dy (0.009, 0.000, 0.313) [4 per cell]
Dy (0.021, 0.500, 0.863) [4 per cell]
Er (0.000, 0.240, 0.500) [4 per cell]
Er (0.151, 0.249, 0.250) [8 per cell]
Er (0.221, 0.000, 0.729) [4 per cell]
Er (0.223, 0.500, 0.538) [4 per cell]

A geometry-optimized Tb2Dy5Er2 structure, computed with GGA-PBE.

- Offset from the most stable computed form: 0.000 eV/atom
- ΔH_f (0 K): 0.017 eV per atom
- Final energy: -4.5824 eV per atom

Cell lengths 14.985, 4.987, 7.895 Å; angles 90.00, 108.44, 90.00 degrees
Space group C2/m (No. 12)
Symmetry-distinct sites (fractional):
Tb (0.111, 0.000, 0.167) [4 per cell]
Dy (0.000, 0.000, 0.500) [2 per cell]
Dy (0.167, 0.500, 0.500) [4 per cell]
Dy (0.222, 0.000, 0.833) [4 per cell]
Er (0.056, 0.500, 0.834) [4 per cell]

A geometry-optimized Tb6DyEr structure, computed with GGA-PBE.

- Offset from the most stable computed form: 0.183 eV/atom
- ΔH_f (0 K): 0.203 eV per atom
- Final energy: -4.4158 eV per atom

Cell lengths 6.513, 6.719, 6.904 Å; angles 118.94, 102.88, 90.06 degrees
Space group P-1 (No. 2)
Symmetry-distinct sites (fractional):
Tb (0.230, 0.075, 0.480) [2 per cell]
Tb (0.251, 0.050, 0.001) [2 per cell]
Tb (0.270, 0.596, 0.523) [2 per cell]
Dy (0.000, 0.500, 0.000) [1 per cell]
Er (0.500, 0.500, 0.000) [1 per cell]

A geometry-optimized Tb2Dy3Er8 structure, computed with GGA-PBE.

- Offset from the most stable computed form: 0.000 eV/atom
- ΔH_f (0 K): 0.021 eV per atom
- Final energy: -4.5614 eV per atom

Cell lengths 4.970, 7.866, 10.532 Å; angles 94.19, 103.64, 90.09 degrees
Space group P-1 (No. 2)
Symmetry-distinct sites (fractional):
Tb (0.231, 0.346, 0.462) [2 per cell]
Dy (0.000, 0.500, 0.000) [1 per cell]
Dy (0.461, 0.193, 0.923) [2 per cell]
Er (0.077, 0.115, 0.153) [2 per cell]
Er (0.154, 0.732, 0.308) [2 per cell]
Er (0.308, 0.961, 0.615) [2 per cell]
Er (0.385, 0.577, 0.769) [2 per cell]

A geometry-optimized Tb3Dy2Er3 structure, computed with GGA-PBE.

- Offset from the most stable computed form: 0.228 eV/atom
- ΔH_f (0 K): 0.247 eV per atom
- Final energy: -4.3506 eV per atom

Cell lengths 8.4750, 8.4750, 12.3710 Å; angles 90.00, 90.00, 120.00 degrees
Space group R32 (No. 155, hexagonal axes)
Symmetry-distinct sites (fractional):
Tb (0.0000, 0.7631, 0.0000) [9 per cell]
Dy (0.0000, 0.0000, 0.2353) [6 per cell]
Er (0.0000, 0.2339, 0.5000) [9 per cell]

A geometry-optimized Tb14DyEr structure, computed with GGA-PBE.

- ΔH_f (0 K): 0.014 eV per atom
- Final energy: -4.6104 eV per atom

Cell lengths 7.105, 7.105, 10.025 Å; angles 90.00, 90.00, 90.00 degrees
Space group P4/mmm (No. 123)
Symmetry-distinct sites (fractional):
Tb (0.000, 0.000, 0.000) [1 per cell]
Tb (0.000, 0.500, 0.000) [2 per cell]
Tb (0.000, 0.500, 0.500) [2 per cell]
Tb (0.250, 0.250, 0.251) [8 per cell]
Tb (0.500, 0.500, 0.000) [1 per cell]
Dy (0.000, 0.000, 0.500) [1 per cell]
Er (0.500, 0.500, 0.500) [1 per cell]

A geometry-optimized Tb6Dy16Er7 structure, computed with GGA-PBE.

- ΔH_f (0 K): 0.238 eV per atom
- Final energy: -4.3605 eV per atom

Cell lengths 15.614, 15.614, 15.614 Å; angles 90.00, 90.00, 90.00 degrees
Space group Fm-3m (No. 225)
Symmetry-distinct sites (fractional):
Tb (0.000, 0.000, 0.221) [24 per cell]
Dy (0.123, 0.123, 0.377) [32 per cell]
Dy (0.152, 0.152, 0.152) [32 per cell]
Er (0.000, 0.000, 0.500) [4 per cell]
Er (0.000, 0.250, 0.250) [24 per cell]

A geometry-optimized TbDy2Er9 structure, computed with GGA-PBE.

- Offset from the most stable computed form: 0.031 eV/atom
- ΔH_f (0 K): 0.054 eV per atom
- Final energy: -4.5213 eV per atom

Cell lengths 11.0905, 11.0905, 3.4665 Å; angles 90.00, 90.00, 120.00 degrees
Space group P6/mmm (No. 191)
Symmetry-distinct sites (fractional):
Tb (0.0000, 0.0000, 0.0000) [1 per cell]
Dy (0.3333, 0.6667, 0.0000) [2 per cell]
Er (0.0000, 0.5000, 0.0000) [3 per cell]
Er (0.1767, 0.3533, 0.5000) [6 per cell]

A geometry-optimized Tb2DyEr6 structure, computed with GGA-PBE.

- Offset from the most stable computed form: 0.086 eV/atom
- ΔH_f (0 K): 0.107 eV per atom
- Final energy: -4.4749 eV per atom

Cell lengths 12.663, 14.045, 6.484 Å; angles 90.00, 103.83, 90.00 degrees
Space group C2/c (No. 15)
Symmetry-distinct sites (fractional):
Tb (0.142, 0.024, 0.370) [8 per cell]
Dy (0.000, 0.380, 0.250) [4 per cell]
Er (0.036, 0.186, 0.003) [8 per cell]
Er (0.134, 0.412, 0.816) [8 per cell]
Er (0.239, 0.201, 0.729) [8 per cell]

A geometry-optimized Tb12Dy3Er structure, computed with GGA-PBE.

- ΔH_f (0 K): 0.017 eV per atom
- Final energy: -4.6038 eV per atom

Cell lengths 5.017, 5.017, 20.052 Å; angles 90.00, 90.00, 90.00 degrees
Space group P4/mmm (No. 123)
Symmetry-distinct sites (fractional):
Tb (0.000, 0.000, 0.000) [1 per cell]
Tb (0.000, 0.000, 0.250) [2 per cell]
Tb (0.000, 0.000, 0.500) [1 per cell]
Tb (0.000, 0.500, 0.125) [4 per cell]
Tb (0.000, 0.500, 0.375) [4 per cell]
Dy (0.500, 0.500, 0.000) [1 per cell]
Dy (0.500, 0.500, 0.250) [2 per cell]
Er (0.500, 0.500, 0.500) [1 per cell]

A geometry-optimized Tb3Dy2Er4 structure, computed with GGA-PBE.

- Offset from the most stable computed form: 0.000 eV/atom
- ΔH_f (0 K): 0.018 eV per atom
- Final energy: -4.5757 eV per atom

Cell lengths 6.101, 6.108, 9.306 Å; angles 109.00, 90.07, 119.95 degrees
Space group P-1 (No. 2)
Symmetry-distinct sites (fractional):
Tb (0.000, 0.000, 0.000) [1 per cell]
Tb (0.445, 0.556, 0.333) [2 per cell]
Dy (0.222, 0.778, 0.667) [2 per cell]
Er (0.111, 0.888, 0.333) [2 per cell]
Er (0.333, 0.667, 0.000) [2 per cell]

A geometry-optimized Tb12Dy7Er structure, computed with GGA-PBE.

- ΔH_f (0 K): 0.290 eV per atom
- Final energy: -4.3269 eV per atom

Cell lengths 12.7627, 12.7627, 13.6855 Å; angles 90.00, 90.00, 120.00 degrees
Space group R-3 (No. 148, hexagonal axes)
Symmetry-distinct sites (fractional):
Tb (0.0010, 0.5651, 0.2492) [18 per cell]
Tb (0.0682, 0.2001, 0.8480) [18 per cell]
Dy (0.0000, 0.0000, 0.0000) [3 per cell]
Dy (0.0682, 0.8688, 0.3471) [18 per cell]
Er (0.0000, 0.0000, 0.5000) [3 per cell]

A geometry-optimized Tb7Dy12Er structure, computed with GGA-PBE.

- Offset from the most stable computed form: 0.000 eV/atom
- ΔH_f (0 K): 0.291 eV per atom
- Final energy: -4.3191 eV per atom

Cell lengths 12.7478, 12.7478, 13.6349 Å; angles 90.00, 90.00, 120.00 degrees
Space group R-3 (No. 148, hexagonal axes)
Symmetry-distinct sites (fractional):
Tb (0.0000, 0.0000, 0.0000) [3 per cell]
Tb (0.0682, 0.1998, 0.3465) [18 per cell]
Dy (0.0008, 0.4360, 0.2493) [18 per cell]
Dy (0.0683, 0.8677, 0.8486) [18 per cell]
Er (0.0000, 0.0000, 0.5000) [3 per cell]

A geometry-optimized Tb5Dy3Er3 structure, computed with GGA-PBE.

- ΔH_f (0 K): 0.820 eV per atom
- Final energy: -3.7845 eV per atom

Cell lengths 9.6283, 9.6283, 5.4800 Å; angles 90.00, 90.00, 120.00 degrees
Space group P-62m (No. 189)
Symmetry-distinct sites (fractional):
Tb (0.0000, 0.2707, 0.0000) [3 per cell]
Tb (0.3333, 0.6667, 0.0000) [2 per cell]
Dy (0.0000, 0.4551, 0.5000) [3 per cell]
Er (0.0000, 0.6315, 0.0000) [3 per cell]

A geometry-optimized TbDy3Er2 structure, computed with GGA-PBE.

- Offset from the most stable computed form: 0.000 eV/atom
- ΔH_f (0 K): -0.003 eV per atom
- Final energy: -4.5968 eV per atom

Cell lengths 7.110, 7.112, 8.745 Å; angles 90.02, 101.72, 119.97 degrees
Space group P-1 (No. 2)
Symmetry-distinct sites (fractional):
Tb (0.000, 0.250, 0.001) [2 per cell]
Dy (0.222, 0.361, 0.665) [2 per cell]
Dy (0.278, 0.639, 0.335) [2 per cell]
Dy (0.500, 0.250, 0.001) [2 per cell]
Er (0.222, 0.862, 0.666) [2 per cell]
Er (0.278, 0.138, 0.334) [2 per cell]

A geometry-optimized TbDy12Er6 structure, computed with GGA-PBE.

- Offset from the most stable computed form: 0.291 eV/atom
- ΔH_f (0 K): 0.447 eV per atom
- Final energy: -4.1437 eV per atom

Cell lengths 14.9765, 14.9765, 9.9273 Å; angles 90.00, 90.00, 120.00 degrees
Space group R-3m (No. 166, hexagonal axes)
Symmetry-distinct sites (fractional):
Tb (0.0000, 0.0000, 0.0000) [3 per cell]
Dy (0.0000, 0.3894, 0.5000) [18 per cell]
Dy (0.0724, 0.1447, 0.2900) [18 per cell]
Er (0.0534, 0.5267, 0.2105) [18 per cell]

Number 1: spin magnetization 0.0 μB/cell. Number 2: spin magnetization 0.0 μB/cell. Number 3: spin magnetization 0.0 μB/cell. Number 4: spin magnetization 0.0 μB/cell. Number 5: spin magnetization 0.0 μB/cell. Number 6: spin magnetization 0.0 μB/cell. Number 7: spin magnetization 0.0 μB/cell. Number 8: spin magnetization 0.0 μB/cell. Number 9: spin magnetization 0.0 μB/cell. Number 10: spin magnetization 0.0 μB/cell. Number 11: spin magnetization 0.0 μB/cell. Number 12: spin magnetization 0.0 μB/cell. Number 13: spin magnetization 0.0 μB/cell. Number 14: spin magnetization 0.0 μB/cell. Number 15: spin magnetization 0.0 μB/cell. Number 16: spin magnetization 0.0 μB/cell. Number 17: spin magnetization 0.0 μB/cell. Number 18: spin magnetization 0.0 μB/cell.